Entry 1:
Material: NaGa3Ge3
Method: DFT, PBE
State: relaxed

abc: 9.1399 9.1399 9.1399
angles: 44.35 44.35 44.35
Last column: nearest neighbours and their distance in Å.
Sites, in units of the cell vectors:
Na  0.1663  0.1663  0.1663  6 Ge 3.16-3.17
Na  0.8337  0.8337  0.8337  6 Ge 3.16-3.17
Ga  0.0275  0.7002  0.3639  4 Ge 2.59-2.71, 3 Ga 2.74-2.77
Ga  0.2998  0.6361  0.9725  4 Ge 2.59-2.71, 3 Ga 2.74-2.77
Ga  0.3639  0.0275  0.7002  4 Ge 2.59-2.71, 3 Ga 2.74-2.77
Ga  0.6361  0.9725  0.2998  4 Ge 2.59-2.71, 3 Ga 2.74-2.77
Ga  0.7002  0.3639  0.0275  4 Ge 2.59-2.71, 3 Ga 2.74-2.77
Ga  0.9725  0.2998  0.6361  4 Ge 2.59-2.71, 3 Ga 2.74-2.77
Ge  0.0839  0.4140  0.7403  4 Ga 2.59-2.71
Ge  0.2597  0.9161  0.5860  4 Ga 2.59-2.71
Ge  0.4140  0.7403  0.0839  4 Ga 2.59-2.71
Ge  0.5860  0.2597  0.9161  4 Ga 2.59-2.71
Ge  0.7403  0.0839  0.4140  4 Ga 2.59-2.71
Ge  0.9161  0.5860  0.2597  4 Ga 2.59-2.71

- ΔH_f (0 K) (eV/f.u.) = 0.2
- relative energy among the computed polymorphs (meV per atom) = 2
- total DFT energy (no corrections) (Ha/atom) = -0.1261

=====

Entry 2:
Material: Ca2La7Cd2
Method: DFT, PBE
State: relaxed

abc: 6.6082 6.6082 9.7841
angles: 90.47 90.47 116.34
Last column: nearest neighbours and their distance in Å.
Sites, in units of the cell vectors:
Ca  0.2360  0.7640  0.0000  2 Cd 3.24, 2 Ca 3.50, 2 La 3.62
Ca  0.7640  0.2360  0.0000  2 Cd 3.24, 2 Ca 3.50, 2 La 3.62
La  0.0000  0.0000  0.5000  10 La 3.62-3.75, 2 Cd 3.73
La  0.1560  0.5694  0.3489  1 Cd 3.32, 5 La 3.50-3.62, 1 Ca 3.62
La  0.3063  0.3063  0.8020  3 Cd 3.44-3.61, 5 La 3.60-3.79, 2 Ca 3.78
La  0.4306  0.8440  0.6511  1 Cd 3.32, 5 La 3.50-3.62, 1 Ca 3.62
La  0.5694  0.1560  0.3489  1 Cd 3.32, 5 La 3.50-3.62, 1 Ca 3.62
La  0.6937  0.6937  0.1980  3 Cd 3.44-3.61, 5 La 3.60-3.79, 2 Ca 3.78
La  0.8440  0.4306  0.6511  1 Cd 3.32, 5 La 3.50-3.62, 1 Ca 3.62
Cd  0.1799  0.1799  0.1429  2 Ca 3.24, 5 La 3.32-3.61
Cd  0.8201  0.8201  0.8571  2 Ca 3.24, 5 La 3.32-3.61

- ΔH_f (0 K) (eV/f.u.) = -0.4
- total DFT energy (no corrections) (Ha/atom) = -0.1362

=====

Entry 3:
Material: KPuInCl5
Method: DFT, PBE
State: relaxed

abc: 7.4563 8.3171 10.6148
angles: 109.95 90.18 113.24
Last column: nearest neighbours and their distance in Å.
Sites, in units of the cell vectors:
K  0.2030  0.3436  0.3429  7 Cl 3.15-3.49
K  0.7970  0.6564  0.6571  7 Cl 3.15-3.49
Pu  0.5000  0.0000  0.0000  6 Cl 2.70-2.79
Pu  0.5000  0.0000  0.5000  6 Cl 2.68-2.79
In  0.1687  0.3745  0.8346  4 Cl 3.05-3.33
In  0.8313  0.6255  0.1654  4 Cl 3.05-3.33
Cl  0.1263  0.7420  0.8881  1 Pu 2.70
Cl  0.1333  0.7344  0.4686  1 Pu 2.68
Cl  0.3839  0.9974  0.2490  2 Pu 2.79
Cl  0.3906  0.2912  0.5972  1 Pu 2.73, 1 In 3.05
Cl  0.4135  0.3005  0.0557  1 Pu 2.70
Cl  0.5865  0.6995  0.9443  1 Pu 2.70
Cl  0.6094  0.7088  0.4028  1 Pu 2.73, 1 In 3.05
Cl  0.6161  0.0026  0.7510  2 Pu 2.79
Cl  0.8667  0.2656  0.5314  1 Pu 2.68
Cl  0.8737  0.2580  0.1119  1 Pu 2.70

- formation energy without anion corrections (eV per atom) = -1.66
- total DFT energy (no corrections) (Ha/atom) = -0.1869

=====

Entry 4:
Material: Be2CoSbRu
Method: DFT, PBE
State: relaxed

abc: 4.1756 4.1756 4.9301
angles: 90.00 90.00 90.00
Last column: nearest neighbours and their distance in Å.
Sites, in units of the cell vectors:
Be  0.0000  0.5000  0.0000  2 Ru 2.09
Be  0.5000  0.0000  0.0000  2 Ru 2.09
Co  0.0000  0.0000  0.5000  4 Sb 2.95, 8 Be 3.23
Sb  0.5000  0.5000  0.5000  2 Ru 2.47
Ru  0.5000  0.5000  0.0000  4 Be 2.09

- formation energy without anion corrections (eV per atom) = 0.82
- total DFT energy (no corrections) (Ha/atom) = -0.1755

=====

Entry 5:
Material: ZrPbBr4
Method: DFT, PBE
State: relaxed

abc: 8.6618 8.6618 6.4120
angles: 91.87 91.87 75.60
Last column: nearest neighbours and their distance in Å.
Sites, in units of the cell vectors:
Zr  0.0758  0.9242  0.7500  6 Br 2.68-2.74
Zr  0.9242  0.0758  0.2500  6 Br 2.68-2.74
Pb  0.4918  0.5082  0.7500  2 Br 3.00, 2 Pb 3.21
Pb  0.5082  0.4918  0.2500  2 Br 3.00, 2 Pb 3.21
Br  0.0323  0.2161  0.5956  2 Zr 2.68-2.74
Br  0.1574  0.6212  0.9015  1 Zr 2.74, 1 Pb 3.00
Br  0.2161  0.0323  0.0956  2 Zr 2.68-2.74
Br  0.3788  0.8426  0.5985  1 Zr 2.74, 1 Pb 3.00
Br  0.6212  0.1574  0.4015  1 Zr 2.74, 1 Pb 3.00
Br  0.7839  0.9677  0.9044  2 Zr 2.68-2.74
Br  0.8426  0.3788  0.0985  1 Zr 2.74, 1 Pb 3.00
Br  0.9677  0.7839  0.4044  2 Zr 2.68-2.74

- formation energy without anion corrections (eV per atom) = -0.97
- total DFT energy (no corrections) (Ha/atom) = -0.1515

=====

Entry 6:
Material: Cd2SnP
Method: DFT, PBE
State: relaxed

abc: 5.0452 5.0452 5.0452
angles: 60.00 60.00 60.00
Last column: nearest neighbours and their distance in Å.
Sites, in units of the cell vectors:
Cd  0.2500  0.2500  0.2500  4 Sn 3.09, 4 P 3.09
Cd  0.7500  0.7500  0.7500  4 Sn 3.09, 4 P 3.09
Sn  0.0000  0.0000  0.0000  8 Cd 3.09
P  0.5000  0.5000  0.5000  8 Cd 3.09

- ΔH_f (0 K) (eV/f.u.) = 1.4
- relative energy among the computed polymorphs (meV per atom) = 220
- total DFT energy (no corrections) (Ha/atom) = -0.0906

=====

Entry 7:
Material: Mg2GaCu2
Method: DFT, PBE
State: relaxed

abc: 6.7420 6.7420 3.6121
angles: 90.00 90.00 90.00
Last column: nearest neighbours and their distance in Å.
Sites, in units of the cell vectors:
Mg  0.1649  0.3351  0.0000  6 Cu 2.64-2.71
Mg  0.3351  0.8351  0.0000  6 Cu 2.64-2.71
Mg  0.6649  0.1649  0.0000  6 Cu 2.64-2.71
Mg  0.8351  0.6649  0.0000  6 Cu 2.64-2.71
Ga  0.0000  0.0000  0.5000  4 Cu 2.63
Ga  0.5000  0.5000  0.5000  4 Cu 2.63
Cu  0.1327  0.6327  0.5000  1 Cu 2.53, 2 Ga 2.63, 6 Mg 2.64-2.71
Cu  0.3673  0.1327  0.5000  1 Cu 2.53, 2 Ga 2.63, 6 Mg 2.64-2.71
Cu  0.6327  0.8673  0.5000  1 Cu 2.53, 2 Ga 2.63, 6 Mg 2.64-2.71
Cu  0.8673  0.3673  0.5000  1 Cu 2.53, 2 Ga 2.63, 6 Mg 2.64-2.71

- ΔH_f (0 K) (eV/f.u.) = -0.6
- total DFT energy (no corrections) (Ha/atom) = -0.1103

=====

Entry 8:
Material: Mg2FeGe2Ir
Method: DFT, PBE
State: relaxed

abc: 7.2892 7.2892 7.2892
angles: 133.40 68.02 133.40
Last column: nearest neighbours and their distance in Å.
Sites, in units of the cell vectors:
Mg  0.1577  0.2459  0.4036  5 Ge 2.76-3.03, 2 Ir 2.78, 2 Fe 2.80
Mg  0.3423  0.7459  0.0882  5 Ge 2.76-3.03, 2 Ir 2.78, 2 Fe 2.80
Mg  0.6577  0.2541  0.9118  5 Ge 2.76-3.03, 2 Ir 2.78, 2 Fe 2.80
Mg  0.8423  0.7541  0.5964  5 Ge 2.76-3.03, 2 Ir 2.78, 2 Fe 2.80
Fe  0.2500  0.7500  0.5000  4 Ge 2.39
Fe  0.7500  0.2500  0.5000  4 Ge 2.39
Ge  0.1142  0.7280  0.8422  2 Fe 2.39, 2 Ir 2.54
Ge  0.3858  0.2280  0.6138  2 Fe 2.39, 2 Ir 2.54
Ge  0.6142  0.7720  0.3862  2 Fe 2.39, 2 Ir 2.54
Ge  0.8858  0.2720  0.1578  2 Fe 2.39, 2 Ir 2.54
Ir  0.2500  0.2500  0.0000  4 Ge 2.54, 4 Mg 2.78
Ir  0.7500  0.7500  0.0000  4 Ge 2.54, 4 Mg 2.78

- ΔH_f (0 K) (eV/f.u.) = -1.9
- total DFT energy (no corrections) (Ha/atom) = -0.1938

=====

Entry 9:
Material: PrTl2Cu2Te4
Method: DFT, PBE
State: relaxed

abc: 8.2710 8.2710 8.6126
angles: 108.08 108.08 29.85
Last column: nearest neighbours and their distance in Å.
Sites, in units of the cell vectors:
Pr  0.0000  0.0000  0.0000  6 Te 3.16-3.20
Tl  0.1310  0.1310  0.5490  7 Te 3.46-3.70
Tl  0.8690  0.8690  0.4510  7 Te 3.46-3.70
Cu  0.3164  0.3164  0.0067  4 Te 2.66-2.67
Cu  0.6836  0.6836  0.9933  4 Te 2.66-2.67
Te  0.2082  0.2082  0.1875  3 Cu 2.66-2.67
Te  0.4702  0.4702  0.2487  1 Cu 2.66
Te  0.5298  0.5298  0.7513  1 Cu 2.66
Te  0.7918  0.7918  0.8125  3 Cu 2.66-2.67

- formation energy without anion corrections (eV per atom) = -0.54
- total DFT energy (no corrections) (Ha/atom) = -0.1433

=====

Entry 10:
Material: LaAg2Mo
Method: DFT, PBE
State: relaxed

abc: 3.0499 5.1161 5.5364
angles: 90.00 105.05 90.00
Last column: nearest neighbours and their distance in Å.
Sites, in units of the cell vectors:
La  0.0000  0.0000  0.0000  2 Mo 2.79, 2 La 3.05
Ag  0.3310  0.5000  0.7215  5 Ag 2.74-3.05, 2 Mo 2.94
Ag  0.6690  0.5000  0.2785  5 Ag 2.74-3.05, 2 Mo 2.94
Mo  0.5000  0.0000  0.5000  2 La 2.79, 4 Ag 2.94, 2 Mo 3.05

- ΔH_f (0 K) (eV/f.u.) = 1.7
- relative energy among the computed polymorphs (meV per atom) = 49
- total DFT energy (no corrections) (Ha/atom) = -0.1819

=====

Entry 11:
Material: NbAl3F
Method: DFT, PBE
State: relaxed

abc: 4.2309 4.2309 4.2309
angles: 90.00 90.00 90.00
Last column: nearest neighbours and their distance in Å.
Sites, in units of the cell vectors:
Nb  0.0000  0.0000  0.0000  12 Al 2.99
Al  0.0000  0.5000  0.5000  2 F 2.12
Al  0.5000  0.0000  0.5000  2 F 2.12
Al  0.5000  0.5000  0.0000  2 F 2.12
F  0.5000  0.5000  0.5000  6 Al 2.12

- formation energy without anion corrections (eV per atom) = -0.42
- relative energy among the computed polymorphs (meV per atom) = 0
- total DFT energy (no corrections) (Ha/atom) = -0.1858

=====

Number 1: size of the total moment 0.0 μB per formula unit. Number 2: size of the total moment 0.0 μB per formula unit. Number 3: size of the total moment 0.0 μB per formula unit. Number 4: size of the total moment 1.8 μB per formula unit. Number 5: size of the total moment 1.0 μB per formula unit. Number 6: size of the total moment 0.0 μB per formula unit. Number 7: size of the total moment 0.0 μB per formula unit. Number 8: size of the total moment 0.0 μB per formula unit. Number 9: size of the total moment 0.0 μB per formula unit. Number 10: size of the total moment 0.0 μB per formula unit. Number 11: size of the total moment 0.0 μB per formula unit.